Below is a relaxed structure of LaNd2Y3Bi6, with properties calculated at the GGA-PBE level.

a = 7.913 Å, b = 13.706 Å, c = 7.888 Å
α = 90.00°, β = 109.52°, γ = 90.00°
Space group C2/m (No. 12)
Inequivalent atoms, fractional coordinates:
La (0.000, 0.000, 0.000) (multiplicity 2)
Nd (0.000, 0.333, 0.000) (multiplicity 4)
Y (0.000, 0.166, 0.500) (multiplicity 4)
Y (0.000, 0.500, 0.500) (multiplicity 2)
Bi (0.246, 0.332, 0.740) (multiplicity 8)
Bi (0.249, 0.000, 0.741) (multiplicity 4)

Uncorrected energy (eV per atom): -5.70

Below is a relaxed structure of MgTlTe2, with properties calculated at the GGA-PBE level.

a = 3.943 Å, b = 4.084 Å, c = 15.571 Å
α = 90.00°, β = 90.00°, γ = 90.00°
Space group Imm2 (No. 44)
Inequivalent atoms, fractional coordinates:
Mg (0.000, 0.000, 0.000) (multiplicity 2)
Tl (0.000, 0.500, 0.247) (multiplicity 2)
Te (0.000, 0.000, 0.572) (multiplicity 2)
Te (0.000, 0.500, 0.862) (multiplicity 2)

E_form (uncorrected) (eV per atom): -0.36

Below is a relaxed structure of CsK14Rb, with properties calculated at the GGA-PBE level.

a = 15.399 Å, b = 9.911 Å, c = 15.820 Å
α = 90.00°, β = 90.00°, γ = 90.00°
Space group Amm2 (No. 38)
Inequivalent atoms, fractional coordinates:
Cs (0.000, 0.000, 0.000) (multiplicity 2)
K (0.000, 0.248, 0.748) (multiplicity 4)
K (0.249, 0.000, 0.289) (multiplicity 4)
K (0.252, 0.000, 0.789) (multiplicity 4)
K (0.261, 0.247, 0.541) (multiplicity 8)
K (0.500, 0.000, 0.094) (multiplicity 2)
K (0.500, 0.000, 0.595) (multiplicity 2)
K (0.500, 0.249, 0.343) (multiplicity 4)
Rb (0.000, 0.000, 0.498) (multiplicity 2)

Uncorrected energy (eV per atom): -1.07